(1)
# BeCo2Ru2 | Alexandria | GGA-PBE | optimized geometry
# Polymorph energy (0 for the lowest one) = 9.7 kJ/mol of atoms
data_BeCo2Ru2
_cell_length_a 6.9583
_cell_length_b 6.9583
_cell_length_c 2.6769
_cell_angle_alpha 90.00
_cell_angle_beta 90.00
_cell_angle_gamma 90.00
_space_group_name_H-M_alt 'P 4/m b m'
_space_group_IT_number 127
_space_group_name_Hall '-P 4 2ab'
loop_
_atom_site_label
_atom_site_fract_x
_atom_site_fract_y
_atom_site_fract_z
_atom_site_occupancy
Be1 0.0000 0.0000 0.0000 1
Co1 0.1670 0.3330 0.5000 1
Ru1 0.1311 0.6311 0.0000 1

=====

(2)
Entry from Alexandria: a relaxed structure of BeCo2Ru (GGA-PBE).

```
data_BeCo2Ru
_cell_length_a 2.5338
_cell_length_b 3.7165
_cell_length_c 4.7132
_cell_angle_alpha 90.00
_cell_angle_beta 102.66
_cell_angle_gamma 90.00
_space_group_name_H-M_alt 'P 1 2/m 1'
_space_group_IT_number 10
loop_
_space_group_symop_operation_xyz
'x,y,z'
'-x,-y,-z'
'-x,y,-z'
'x,-y,z'
loop_
_atom_site_label
_atom_site_fract_x
_atom_site_fract_y
_atom_site_fract_z
_atom_site_occupancy
Be1 0.0000 0.0000 0.0000 1
Co1 0.4062 0.5000 0.2327 1
Ru1 0.0000 0.0000 0.5000 1
```

=====

(3)
Entry from Alexandria: a relaxed structure of BeCo2Ru (GGA-PBE).

```
data_BeCo2Ru
_cell_length_a 2.7529
_cell_length_b 4.2139
_cell_length_c 7.7987
_cell_angle_alpha 90.00
_cell_angle_beta 90.00
_cell_angle_gamma 90.00
_space_group_name_H-M_alt 'C m m m'
_space_group_IT_number 65
_space_group_name_Hall '-C 2 2'
loop_
_atom_site_label
_atom_site_fract_x
_atom_site_fract_y
_atom_site_fract_z
_atom_site_occupancy
Be1 0.0000 0.0000 0.0000 1
Co1 0.0000 0.5000 0.2238 1
Ru1 0.0000 0.0000 0.5000 1
```

=====

| no. | uncorrected energy (eV/atom) |
| --- | --- |
| 1 | -6.80 |
| 2 | -6.78 |
| 3 | -6.60 |